Below is Ti2SbN after structural relaxation, with properties calculated at the PBE level.

Unit cell a=3.238 b=3.238 c=6.842 alpha=103.87 beta=103.87 gamma=60.06
Element x y z (fractional)
Ti1 0.218 0.218 0.151
Ti2 0.782 0.782 0.849
Sb1 0.000 0.000 0.500
N1 0.500 0.500 0.000

Results
Raw formation energy in eV/atom: -1.015
DOS(E_F) in states/eV/cell: 3.3
Final energy in eV/atom: -8.0742
Excess energy over the best structure of this formula in the dataset in eV/atom: 0.000
Volume in Å³ per cell: 59.7